# P2PbSe6 PBE optimized geometry
data_P2PbSe6
_chemical_formula_sum 'P4 Pb2 Se12'
_symmetry_space_group_name_H-M 'P 1'
_symmetry_Int_Tables_number 1
_cell_length_a 6.4107
_cell_length_b 9.1966
_cell_length_c 9.1966
_cell_angle_alpha 89.53
_cell_angle_beta 79.21
_cell_angle_gamma 79.21
loop_
_symmetry_equiv_pos_as_xyz
'x,y,z'
loop_
_atom_site_label
_atom_site_fract_x
_atom_site_fract_y
_atom_site_fract_z
P1 0.2772 0.6287 0.7821
P2 0.2228 0.2179 0.3713
P3 0.7228 0.3713 0.2179
P4 0.7772 0.7821 0.6287
Pb1 0.2500 0.1358 0.8642
Pb2 0.7500 0.8642 0.1358
Se1 0.4777 0.7122 0.5684
Se2 0.0223 0.4316 0.2878
Se3 0.5223 0.2878 0.4316
Se4 0.9777 0.5684 0.7122
Se5 0.9473 0.8418 0.4162
Se6 0.5527 0.5838 0.1582
Se7 0.0527 0.1582 0.5838
Se8 0.4473 0.4162 0.8418
Se9 0.2178 0.8007 0.9616
Se10 0.2822 0.0384 0.1993
Se11 0.7822 0.1993 0.0384
Se12 0.7178 0.9616 0.8007
# E_tot = -4.03 eV/atom

***

# NaCa3Rh PBE optimized geometry
data_NaCa3Rh
_chemical_formula_sum 'Na4 Ca12 Rh4'
_symmetry_space_group_name_H-M 'P 1'
_symmetry_Int_Tables_number 1
_cell_length_a 26.7595
_cell_length_b 6.1345
_cell_length_c 10.3556
_cell_angle_alpha 90.00
_cell_angle_beta 159.42
_cell_angle_gamma 90.00
loop_
_symmetry_equiv_pos_as_xyz
'x,y,z'
loop_
_atom_site_label
_atom_site_fract_x
_atom_site_fract_y
_atom_site_fract_z
Na1 0.4154 0.5680 0.4162
Na2 0.5846 0.4320 0.5838
Na3 0.0846 0.0680 0.0838
Na4 0.9154 0.9320 0.9162
Ca1 0.3219 0.9997 0.9656
Ca2 0.6781 0.0003 0.0344
Ca3 0.1781 0.4997 0.5344
Ca4 0.8219 0.5003 0.4656
Ca5 0.3223 0.1421 0.3218
Ca6 0.6777 0.8579 0.6782
Ca7 0.1777 0.6421 0.1782
Ca8 0.8223 0.3579 0.8218
Ca9 0.5566 0.7503 0.0569
Ca10 0.4434 0.2497 0.9431
Ca11 0.9434 0.2503 0.4431
Ca12 0.0566 0.7497 0.5569
Rh1 0.1127 0.2496 0.6121
Rh2 0.8873 0.7504 0.3879
Rh3 0.3873 0.7496 0.8879
Rh4 0.6127 0.2504 0.1121
# density of states at the Fermi level = 3.0 states/eV/f.u.
# DFT formation energy = -0.161 eV per atom

***

# Zn2IrPb PBE optimized geometry
data_Zn2IrPb
_chemical_formula_sum 'Zn2 Ir1 Pb1'
_symmetry_space_group_name_H-M 'P 1'
_symmetry_Int_Tables_number 1
_cell_length_a 4.7859
_cell_length_b 5.6779
_cell_length_c 3.2775
_cell_angle_alpha 70.24
_cell_angle_beta 96.74
_cell_angle_gamma 117.09
loop_
_symmetry_equiv_pos_as_xyz
'x,y,z'
loop_
_atom_site_label
_atom_site_fract_x
_atom_site_fract_y
_atom_site_fract_z
Ir1 0.0000 0.5000 0.5000
Pb1 0.5000 0.5000 0.0000
Zn1 0.0000 0.0000 0.0000
Zn2 0.5000 0.0000 0.5000
# density of states at the Fermi level = 2.1 states/eV/f.u.
# DFT formation energy = 0.313 eV per atom

***

# HfGeSb2Au PBE optimized geometry
data_HfGeSb2Au
_chemical_formula_sum 'Hf1 Ge1 Sb2 Au1'
_symmetry_space_group_name_H-M 'P 1'
_symmetry_Int_Tables_number 1
_cell_length_a 5.2869
_cell_length_b 5.3049
_cell_length_c 5.2869
_cell_angle_alpha 90.00
_cell_angle_beta 90.00
_cell_angle_gamma 90.00
loop_
_symmetry_equiv_pos_as_xyz
'x,y,z'
loop_
_atom_site_label
_atom_site_fract_x
_atom_site_fract_y
_atom_site_fract_z
Hf1 0.0000 0.5000 0.0000
Ge1 0.5000 0.5000 0.5000
Au1 0.0000 0.0000 0.0000
Sb1 0.0000 0.0000 0.5000
Sb2 0.5000 0.0000 0.0000
# density of states at the Fermi level = 3.9 states/eV/f.u.
# E_tot = -4.40 eV/atom

***

# Ho3ZrH8 PBE optimized geometry
data_Ho3ZrH8
_chemical_formula_sum 'Ho3 Zr1 H8'
_symmetry_space_group_name_H-M 'P 1'
_symmetry_Int_Tables_number 1
_cell_length_a 5.0481
_cell_length_b 5.0481
_cell_length_c 5.0481
_cell_angle_alpha 90.00
_cell_angle_beta 90.00
_cell_angle_gamma 90.00
loop_
_symmetry_equiv_pos_as_xyz
'x,y,z'
loop_
_atom_site_label
_atom_site_fract_x
_atom_site_fract_y
_atom_site_fract_z
Ho1 0.5000 0.5000 0.0000
Ho2 0.5000 0.0000 0.5000
Ho3 0.0000 0.5000 0.5000
Zr1 0.0000 0.0000 0.0000
H1 0.2399 0.2399 0.7601
H2 0.2399 0.7601 0.2399
H3 0.7601 0.2399 0.2399
H4 0.7601 0.7601 0.7601
H5 0.7601 0.7601 0.2399
H6 0.7601 0.2399 0.7601
H7 0.2399 0.7601 0.7601
H8 0.2399 0.2399 0.2399
# density of states at the Fermi level = 3.2 states/eV/f.u.
# E_tot = -4.77 eV/atom

***

# ZrSc2Ga2Cu2 PBE optimized geometry
data_ZrSc2Ga2Cu2
_chemical_formula_sum 'Zr1 Sc2 Ga2 Cu2'
_symmetry_space_group_name_H-M 'P 1'
_symmetry_Int_Tables_number 1
_cell_length_a 4.2599
_cell_length_b 4.2599
_cell_length_c 8.5635
_cell_angle_alpha 75.60
_cell_angle_beta 75.60
_cell_angle_gamma 60.00
loop_
_symmetry_equiv_pos_as_xyz
'x,y,z'
loop_
_atom_site_label
_atom_site_fract_x
_atom_site_fract_y
_atom_site_fract_z
Zr1 0.0000 0.0000 0.0000
Sc1 0.1257 0.1257 0.6230
Sc2 0.8743 0.8743 0.3770
Ga1 0.7369 0.7369 0.7893
Ga2 0.2631 0.2631 0.2107
Cu1 0.6034 0.6034 0.1898
Cu2 0.3966 0.3966 0.8102
# density of states at the Fermi level = 5.7 states/eV/f.u.
# DFT formation energy = -0.343 eV per atom

***

Number 1: M_tot 0.000 μB/atom. Number 2: M_tot 0.000 μB/atom. Number 3: M_tot 0.000 μB/atom. Number 4: M_tot 0.000 μB/atom. Number 5: M_tot 0.000 μB/atom. Number 6: M_tot 0.000 μB/atom.